Na3Ga5Ag2 | PBE | relaxed

a b c (Å): 12.057 12.339 5.865
angles (deg): 90.00 90.00 90.00
Space group Ibam (No. 72)
Asymmetric unit:
Na 0.000 0.000 0.250 x4
Na 0.112 0.252 0.000 x8
Ga 0.000 0.500 0.250 x4
Ga 0.121 0.359 0.500 x8
Ga 0.240 0.500 0.250 x8
Ag 0.157 0.153 0.500 x8

Computed properties:
- ΔE_f (eV/atom) = -0.074
- spin magnetization (μB/atom) = 0.0000

=====

Na2GaAg | PBE | relaxed

a b c (Å): 4.349 4.349 4.696
angles (deg): 90.00 90.00 90.00
Space group P4/mmm (No. 123)
Asymmetric unit:
Na 0.000 0.500 0.000 x2
Ga 0.000 0.000 0.500 x1
Ag 0.500 0.500 0.500 x1

Computed properties:
- ΔE_f (eV/atom) = 0.018
- spin magnetization (μB/atom) = 0.0000

=====

NaGa2Ag4 | PBE | relaxed

a b c (Å): 8.009 8.009 4.328
angles (deg): 90.00 90.00 90.00
Space group P4_2/mnm (No. 136)
Asymmetric unit:
Na 0.000 0.000 0.000 x2
Ga 0.219 0.219 0.500 x4
Ag 0.093 0.655 0.500 x8

Computed properties:
- ΔE_f (eV/atom) = -0.056
- spin magnetization (μB/atom) = 0.0000

=====

Na3Ga9Ag2 | PBE | relaxed

a b c (Å): 4.373 9.838 12.952
angles (deg): 90.00 90.00 90.00
Space group Immm (No. 71)
Asymmetric unit:
Na 0.000 0.000 0.000 x2
Na 0.000 0.000 0.304 x4
Ga 0.000 0.283 0.139 x8
Ga 0.000 0.367 0.334 x8
Ga 0.000 0.500 0.000 x2
Ag 0.000 0.194 0.500 x4

Computed properties:
- ΔE_f (eV/atom) = -0.122
- spin magnetization (μB/atom) = 0.0000

=====

Na3Ga4Ag7 | PBE | relaxed

a b c (Å): 16.518 4.534 9.176
angles (deg): 90.00 123.54 90.00
Space group C2/m (No. 12)
Asymmetric unit:
Na 0.000 0.000 0.000 x2
Na 0.188 0.500 0.683 x4
Ga 0.122 0.000 0.841 x4
Ga 0.177 0.500 0.316 x4
Ag 0.000 0.000 0.500 x2
Ag 0.000 0.500 0.283 x4
Ag 0.135 0.000 0.404 x4
Ag 0.189 0.500 0.036 x4

Computed properties:
- ΔE_f (eV/atom) = -0.059
- spin magnetization (μB/atom) = 0.0000

=====

NaGa2Ag10 | PBE | relaxed

a b c (Å): 5.357 13.440 13.731
angles (deg): 90.00 90.00 90.00
Space group Fmmm (No. 69)
Asymmetric unit:
Na 0.000 0.000 0.000 x4
Ga 0.250 0.000 0.250 x8
Ag 0.000 0.107 0.388 x16
Ag 0.000 0.174 0.177 x16
Ag 0.250 0.250 0.000 x8

Computed properties:
- ΔE_f (eV/atom) = 0.006
- spin magnetization (μB/atom) = 0.0000

=====

NaGaAg | PBE | relaxed

a b c (Å): 6.566 6.566 6.566
angles (deg): 90.00 90.00 90.00
Space group F-43m (No. 216)
Asymmetric unit:
Na 0.000 0.000 0.000 x4
Ga 0.000 0.000 0.500 x4
Ag 0.250 0.250 0.250 x4

Computed properties:
- ΔE_f (eV/atom) = 0.099
- spin magnetization (μB/atom) = 0.0000

=====

Na2GaAg2 | PBE | relaxed

a b c (Å): 6.907 6.907 4.837
angles (deg): 90.00 90.00 90.00
Space group P4/mbm (No. 127)
Asymmetric unit:
Na 0.170 0.330 0.000 x4
Ga 0.000 0.000 0.500 x2
Ag 0.144 0.644 0.500 x4

Computed properties:
- ΔE_f (eV/atom) = -0.016
- energy relative to the lowest polymorph listed for this composition (meV/atom) = 52
- spin magnetization (μB/atom) = 0.0000

=====

Na3Ga2Ag4 | PBE | relaxed

a b c (Å): 10.829 4.521 8.751
angles (deg): 90.00 100.84 90.00
Space group C2/m (No. 12)
Asymmetric unit:
Na 0.000 0.000 0.000 x2
Na 0.112 0.500 0.380 x4
Ga 0.198 0.500 0.765 x4
Ag 0.097 0.000 0.629 x4
Ag 0.230 0.500 0.085 x4

Computed properties:
- ΔE_f (eV/atom) = -0.046
- energy relative to the lowest polymorph listed for this composition (meV/atom) = 0
- spin magnetization (μB/atom) = 0.0000

=====

Na2Ga6Ag9 | PBE | relaxed

a b c (Å): 5.6842 5.6842 12.9771
angles (deg): 90.00 90.00 120.00
Space group P6/mmm (No. 191)
Asymmetric unit:
Na 0.0000 0.0000 0.1718 x2
Ga 0.3333 0.6667 0.1669 x4
Ga 0.3333 0.6667 0.5000 x2
Ag 0.0000 0.5000 0.0000 x3
Ag 0.0000 0.5000 0.3343 x6

Computed properties:
- ΔE_f (eV/atom) = -0.011
- spin magnetization (μB/atom) = 0.0000

=====

NaGa7Ag5 | PBE | relaxed

a b c (Å): 5.578 9.629 9.202
angles (deg): 90.00 90.00 90.00
Space group Imm2 (No. 44)
Asymmetric unit:
Na 0.000 0.000 0.000 x2
Ga 0.000 0.000 0.351 x2
Ga 0.000 0.000 0.638 x2
Ga 0.000 0.295 0.502 x4
Ga 0.000 0.359 0.992 x4
Ga 0.000 0.500 0.276 x2
Ag 0.000 0.500 0.706 x2
Ag 0.250 0.244 0.750 x8

Computed properties:
- ΔE_f (eV/atom) = -0.034
- spin magnetization (μB/atom) = 0.0000

=====

Na3Ga2Ag4 | PBE | relaxed

a b c (Å): 14.707 8.443 5.786
angles (deg): 90.00 90.02 90.00
Space group C2/c (No. 15)
Asymmetric unit:
Na 0.000 0.000 0.250 x4
Na 0.162 0.500 0.250 x8
Ga 0.169 0.170 0.499 x8
Ag 0.007 0.327 0.500 x8
Ag 0.168 0.155 0.999 x8

Computed properties:
- ΔE_f (eV/atom) = -0.039
- energy relative to the lowest polymorph listed for this composition (meV/atom) = 7
- spin magnetization (μB/atom) = 0.0000